Here is an optimized crystal structure of Cd3AsBr3 from Alexandria. Energies are from PBE-GGA.

Results
* space-group type: P6_3/m
* N(E_F): 2.6 states/eV/f.u.
* energy: -30.38 eV per cell
* size of the total moment: 0.00 μB/f.u.

a = 9.286 Å, b = 9.286 Å, c = 6.697 Å
α = 90.00°, β = 90.00°, γ = 120.00°
Sites, in units of the cell vectors:
Cd (0.177, 0.355, 0.250)
Cd (0.178, 0.823, 0.250)
Cd (0.355, 0.178, 0.750)
Cd (0.645, 0.822, 0.250)
Cd (0.822, 0.177, 0.750)
Cd (0.823, 0.645, 0.750)
As (0.333, 0.667, 0.250)
As (0.667, 0.333, 0.750)
Br (0.158, 0.317, 0.750)
Br (0.159, 0.842, 0.750)
Br (0.317, 0.159, 0.250)
Br (0.683, 0.841, 0.750)
Br (0.841, 0.158, 0.250)
Br (0.842, 0.683, 0.250)